No. 1
Here is crystalline PrScBi2 at its relaxed geometry from the Alexandria database. Energies are from PBE-GGA.

## Properties
The calculated total energy comes out at -64.83 eV for the cell shown. The relative energy among the computed polymorphs comes out at 111 meV/atom. The density of states at the Fermi level comes out at 0.56 states/eV/f.u. The formation energy comes out at -0.6842 eV per atom.

a b c (Å): 4.4300 4.4300 22.7760
angles (deg): 90.00 90.00 120.00
Space group R3m (No. 160, hexagonal axes)
Asymmetric unit:
1 Pr 0.0000 0.0000 0.0000
2 Sc 0.0000 0.0000 0.8294
3 Bi 0.0000 0.0000 0.4206
4 Bi 0.0000 0.0000 0.5757

=====

No. 2
Here is crystalline PrSc2Bi at its relaxed geometry from the Alexandria database. Energies are from PBE-GGA.

## Properties
The calculated total energy comes out at -22.60 eV for the cell shown. The relative energy among the computed polymorphs comes out at 0 meV/atom. The density of states at the Fermi level comes out at 5.87 states/eV/f.u. The formation energy comes out at -0.3203 eV per atom.

a b c (Å): 4.799 4.799 4.618
angles (deg): 90.00 90.00 90.00
Space group P4/mmm (No. 123)
Asymmetric unit:
1 Pr 0.000 0.000 0.000
2 Sc 0.000 0.500 0.500
3 Bi 0.500 0.500 0.000

=====

No. 3
Here is crystalline PrScBi2 at its relaxed geometry from the Alexandria database. Energies are from PBE-GGA.

## Properties
The calculated total energy comes out at -43.98 eV for the cell shown. The relative energy among the computed polymorphs comes out at 16 meV/atom. The density of states at the Fermi level comes out at 0.65 states/eV/f.u. The formation energy comes out at -0.7794 eV per atom.

a b c (Å): 4.451 6.375 8.884
angles (deg): 90.00 90.00 90.00
Space group Pmmn (No. 59, origin choice 2)
Asymmetric unit:
1 Pr 0.250 0.250 0.130
2 Sc 0.250 0.250 0.626
3 Bi 0.250 0.750 0.141
4 Bi 0.250 0.750 0.604

=====

No. 4
Here is crystalline PrSc2Bi3 at its relaxed geometry from the Alexandria database. Energies are from PBE-GGA.

## Properties
The calculated total energy comes out at -66.64 eV for the cell shown. The density of states at the Fermi level comes out at 1.11 states/eV/f.u. The formation energy comes out at -0.7059 eV per atom.

a b c (Å): 4.432 4.432 18.550
angles (deg): 90.00 90.00 90.00
Space group I4/mmm (No. 139)
Asymmetric unit:
1 Pr 0.000 0.000 0.000
2 Sc 0.000 0.000 0.335
3 Bi 0.000 0.000 0.174
4 Bi 0.000 0.000 0.500